Material: ZrV3Te
Method: DFT, PBE
State: optimized geometry

Values from the calculation:
**E above lowest polymorph**: 0.0 meV/atom
**Volume**: 108.8 Å³ per cell
**Calculated total energy**: -6.71 eV per atom

```
data_ZrV3Te
_chemical_formula_sum 'Zr1 V3 Te1'
_cell_length_a 4.7742
_cell_length_b 4.7742
_cell_length_c 4.7742
_cell_angle_alpha 90.00
_cell_angle_beta 90.00
_cell_angle_gamma 90.00
_space_group_name_H-M_alt 'P 1'
_space_group_IT_number 1
_space_group_name_Hall 'P 1'
loop_
_atom_site_label
_atom_site_type_symbol
_atom_site_fract_x
_atom_site_fract_y
_atom_site_fract_z
Zr1 Zr 0.0000 0.0000 0.0000
V1 V 0.0000 0.5000 0.5000
V2 V 0.5000 0.0000 0.5000
V3 V 0.5000 0.5000 0.0000
Te1 Te 0.5000 0.5000 0.5000
```